Entry from the Alexandria database: a relaxed structure of TiSiO4 (PBE-GGA).

Geometry as extended XYZ:
```
12
Lattice="5.6196 0.0000 0.0000 0.0000 5.6196 0.0000 0.0000 0.0000 7.9601" Properties=species:S:1:pos:R:3 pbc="T T T"
Ti 0.0000 0.0000 0.0000
Ti 2.8098 2.8098 3.9801
Si 0.0000 2.8098 1.9900
Si 2.8098 0.0000 5.9701
O 0.0367 1.4783 1.0466
O 1.3316 2.8465 2.9335
O 1.4783 5.5829 6.9135
O 2.7731 1.3316 5.0267
O 2.8465 4.2881 5.0267
O 4.1414 0.0367 6.9135
O 4.2881 2.7731 2.9335
O 5.5829 4.1414 1.0466
```

Computed properties:
electronic total energy: -8.422 eV/atom
SG: I-4, No. 82
calculated density: 1.85 g cm⁻³